Below is a relaxed Ta2CrCu crystal, with properties calculated at the PBE level.

a b c (Å): 9.5564 9.5564 9.5564
angles (deg): 16.65 16.65 16.65
Closest atoms and distances in Å follow each position.
Positions (direct):
1 Ta 0.0000 0.0000 0.0000  6 Ta 2.77, 3 Cu 2.83
2 Ta 0.2392 0.2392 0.2392  6 Ta 2.77, 3 Cr 2.85
3 Cr 0.4888 0.4888 0.4888  3 Cu 2.60, 6 Cr 2.77, 3 Ta 2.85
4 Cu 0.7494 0.7494 0.7494  3 Cr 2.60, 6 Cu 2.77, 3 Ta 2.83

space-group type: R3m, No. 160
total moment: 0.00 μB/f.u.
electronic total energy: -35.687 eV/cell

Below is a relaxed AsSe3S crystal, with properties calculated at the PBE level.

a b c (Å): 4.8357 4.8357 4.8357
angles (deg): 90.00 90.00 90.00
Closest atoms and distances in Å follow each position.
Positions (direct):
1 As 0.0000 0.0000 0.0000  12 Se 3.42
2 Se 0.0000 0.5000 0.5000  2 S 2.42
3 Se 0.5000 0.0000 0.5000  2 S 2.42
4 Se 0.5000 0.5000 0.0000  2 S 2.42
5 S 0.5000 0.5000 0.5000  6 Se 2.42

space-group type: Pm-3m, No. 221
total moment: 0.00 μB/f.u.
electronic total energy: -15.548 eV/cell
formation energy from raw total energies: 0.736 eV per atom

Below is a relaxed LuSnIrRu crystal, with properties calculated at the PBE level.

a b c (Å): 4.6315 4.6315 4.6315
angles (deg): 60.00 60.00 60.00
Closest atoms and distances in Å follow each position.
Positions (direct):
1 Lu 0.0000 0.0000 0.0000  4 Ru 2.84, 4 Ir 2.84
2 Sn 0.5000 0.5000 0.5000  4 Ru 2.84, 4 Ir 2.84
3 Ir 0.7500 0.7500 0.7500  4 Sn 2.84, 4 Lu 2.84
4 Ru 0.2500 0.2500 0.2500  4 Sn 2.84, 4 Lu 2.84

space-group type: F-43m, No. 216
total moment: 0.00 μB/f.u.
electronic total energy: -29.030 eV/cell

Below is a relaxed CoSiNi crystal, with properties calculated at the PBE level.

a b c (Å): 6.5128 2.6324 7.6254
angles (deg): 90.00 90.00 90.00
Closest atoms and distances in Å follow each position.
Positions (direct):
1 Co 0.1206 0.2500 0.0954  4 Si 2.28-2.35, 2 Co 2.51
2 Co 0.3794 0.7500 0.5954  4 Si 2.28-2.35, 2 Co 2.51
3 Co 0.6206 0.2500 0.4046  4 Si 2.28-2.35, 2 Co 2.51
4 Co 0.8794 0.7500 0.9046  4 Si 2.28-2.35, 2 Co 2.51
5 Si 0.2369 0.7500 0.8683  4 Co 2.28-2.35, 5 Ni 2.40-2.54
6 Si 0.2631 0.2500 0.3683  4 Co 2.28-2.35, 5 Ni 2.40-2.54
7 Si 0.7369 0.7500 0.6317  4 Co 2.28-2.35, 5 Ni 2.40-2.54
8 Si 0.7631 0.2500 0.1317  4 Co 2.28-2.35, 5 Ni 2.40-2.54
9 Ni 0.0451 0.2500 0.6450  5 Si 2.40-2.54, 4 Co 2.57-2.61, 4 Ni 2.63-2.64
10 Ni 0.4549 0.7500 0.1450  5 Si 2.40-2.54, 4 Co 2.57-2.61, 4 Ni 2.63-2.64
11 Ni 0.5451 0.2500 0.8550  5 Si 2.40-2.54, 4 Co 2.57-2.61, 4 Ni 2.63-2.64
12 Ni 0.9549 0.7500 0.3550  5 Si 2.40-2.54, 4 Co 2.57-2.61, 4 Ni 2.63-2.64

space-group type: Pnma, No. 62
total moment: 0.13 μB/f.u.
electronic total energy: -78.714 eV/cell
formation energy from raw total energies: -0.456 eV per atom

Below is a relaxed KGaC crystal, with properties calculated at the PBE level.

a b c (Å): 4.7586 4.7586 9.0181
angles (deg): 111.96 111.96 64.15
Closest atoms and distances in Å follow each position.
Positions (direct):
1 K 0.0000 0.0000 0.0000  1 C 2.93
2 K 0.5871 0.5871 0.3970  6 C 2.77-2.98
3 Ga 0.2069 0.2069 0.7330  1 C 2.39, 1 Ga 2.62
4 Ga 0.5379 0.5379 0.7450  1 C 2.10
5 C 0.2058 0.2058 0.3611  1 C 1.27
6 C 0.3011 0.3011 0.5165  1 C 1.27

space-group type: Cm, No. 8
total moment: 0.00 μB/f.u.
electronic total energy: -24.944 eV/cell

Below is a relaxed Ce5Hg2Os crystal, with properties calculated at the PBE level.

a b c (Å): 6.3430 12.3399 5.3852
angles (deg): 90.00 90.00 90.00
Closest atoms and distances in Å follow each position.
Positions (direct):
1 Ce 0.0000 0.0000 0.0000  2 Os 3.17, 4 Hg 3.43
2 Ce 0.1166 0.2875 0.0000  1 Os 2.72
3 Ce 0.1521 0.5795 0.5000  1 Ce 2.75, 2 Os 3.02
4 Ce 0.3479 0.0795 0.5000  1 Ce 2.75, 2 Os 3.02
5 Ce 0.3834 0.7875 0.0000  1 Os 2.72
6 Ce 0.5000 0.5000 0.0000  2 Os 3.17, 4 Hg 3.43
7 Ce 0.6166 0.2125 0.0000  1 Os 2.72
8 Ce 0.6521 0.9205 0.5000  1 Ce 2.75, 2 Os 3.02
9 Ce 0.8479 0.4205 0.5000  1 Ce 2.75, 2 Os 3.02
10 Ce 0.8834 0.7125 0.0000  1 Os 2.72
11 Hg 0.1186 0.8389 0.5000  9 Ce 3.13-3.45
12 Hg 0.3814 0.3389 0.5000  9 Ce 3.13-3.45
13 Hg 0.6186 0.6611 0.5000  9 Ce 3.13-3.45
14 Hg 0.8814 0.1611 0.5000  9 Ce 3.13-3.45
15 Os 0.0000 0.5000 0.0000  6 Ce 2.72-3.02
16 Os 0.5000 0.0000 0.0000  6 Ce 2.72-3.02

space-group type: Pbam, No. 55
total moment: 4.17 μB/f.u.
electronic total energy: -86.200 eV/cell

Below is a relaxed Fe2CI crystal, with properties calculated at the PBE level.

a b c (Å): 6.1425 6.1425 6.1425
angles (deg): 133.95 133.95 67.17
Closest atoms and distances in Å follow each position.
Positions (direct):
1 Fe 0.0092 0.6250 0.8842  2 C 1.87
2 Fe 0.3750 0.2592 0.3842  2 C 1.87
3 Fe 0.7408 0.1250 0.1158  2 C 1.87
4 Fe 0.8750 0.9908 0.6158  2 C 1.87
5 C 0.0000 0.0000 0.0000  4 Fe 1.87
6 C 0.7500 0.2500 0.5000  4 Fe 1.87
7 I 0.2500 0.7500 0.5000  4 Fe 2.48
8 I 0.5000 0.5000 0.0000  4 Fe 2.48

space-group type: I-42d, No. 122
total moment: 0.00 μB/f.u.
electronic total energy: -49.949 eV/cell
formation energy from raw total energies: 0.681 eV per atom

Below is a relaxed BeFe5Si4 crystal, with properties calculated at the PBE level.

a b c (Å): 2.7426 2.7426 13.5076
angles (deg): 90.00 90.00 90.00
Closest atoms and distances in Å follow each position.
Positions (direct):
1 Be 0.0000 0.0000 0.0000  8 Fe 2.32, 2 Si 2.57
2 Fe 0.5000 0.5000 0.0940  4 Be 2.32, 4 Si 2.33, 1 Fe 2.54
3 Fe 0.5000 0.5000 0.2969  8 Si 2.36-2.42
4 Fe 0.5000 0.5000 0.5000  8 Si 2.39
5 Fe 0.5000 0.5000 0.7031  8 Si 2.36-2.42
6 Fe 0.5000 0.5000 0.9060  4 Be 2.32, 4 Si 2.33, 1 Fe 2.54
7 Si 0.0000 0.0000 0.1903  8 Fe 2.33-2.42, 1 Be 2.57
8 Si 0.0000 0.0000 0.3970  8 Fe 2.36-2.39
9 Si 0.0000 0.0000 0.6030  8 Fe 2.36-2.39
10 Si 0.0000 0.0000 0.8097  8 Fe 2.33-2.42, 1 Be 2.57

space-group type: P4/mmm, No. 123
total moment: 0.89 μB/f.u.
electronic total energy: -72.099 eV/cell
formation energy from raw total energies: -0.437 eV per atom

Below is a relaxed Cu4TeSCl2 crystal, with properties calculated at the PBE level.

a b c (Å): 5.5429 5.5449 6.7764
angles (deg): 65.88 65.86 89.99
Closest atoms and distances in Å follow each position.
Positions (direct):
1 Cu 0.0000 0.0000 0.0000  1 S 2.21, 2 Cl 2.43-2.46
2 Cu 0.2142 0.6920 0.5440  1 S 2.21, 2 Cl 2.44-2.45
3 Cu 0.4486 0.4766 0.0000  1 S 2.21, 2 Cl 2.43-2.46
4 Cu 0.6928 0.2425 0.5416  1 S 2.21, 2 Cl 2.43-2.46
5 Te 0.5886 0.1025 0.2711  4 Cu 2.52
6 S 0.3394 0.3523 0.7708  4 Cu 2.21
7 Cl 0.0890 0.6028 0.2712  4 Cu 2.43-2.44
8 Cl 0.8387 0.8524 0.7714  4 Cu 2.45-2.46

space-group type: P1, No. 1
total moment: 0.00 μB/f.u.
electronic total energy: -29.247 eV/cell
formation energy from raw total energies: -0.237 eV per atom

Below is a relaxed SmErSi3 crystal, with properties calculated at the PBE level.

a b c (Å): 12.4558 12.4558 3.9473
angles (deg): 90.00 90.00 160.67
Closest atoms and distances in Å follow each position.
Positions (direct):
1 Sm 0.0706 0.9294 0.7500  12 Si 3.08-3.39
2 Sm 0.9294 0.0706 0.2500  12 Si 3.08-3.39
3 Er 0.2031 0.7969 0.2500  7 Si 2.89-2.94
4 Er 0.7969 0.2031 0.7500  7 Si 2.89-2.94
5 Si 0.3209 0.6791 0.2500  2 Si 2.44
6 Si 0.3794 0.6206 0.7500  3 Si 2.34-2.44
7 Si 0.4747 0.5253 0.7500  3 Si 2.33-2.34
8 Si 0.5253 0.4747 0.2500  3 Si 2.33-2.34
9 Si 0.6206 0.3794 0.2500  3 Si 2.34-2.44
10 Si 0.6791 0.3209 0.7500  2 Si 2.44

space-group type: Cmcm, No. 63
total moment: 0.00 μB/f.u.
electronic total energy: -58.057 eV/cell
formation energy from raw total energies: -0.696 eV per atom

Below is a relaxed Li2CaMgRu crystal, with properties calculated at the PBE level.

a b c (Å): 4.9276 4.9276 5.0381
angles (deg): 90.00 90.00 90.00
Closest atoms and distances in Å follow each position.
Positions (direct):
1 Li 0.0000 0.5000 0.0000  2 Ru 2.46
2 Li 0.5000 0.0000 0.0000  2 Ru 2.46
3 Ca 0.0000 0.0000 0.5000  2 Ru 2.52
4 Mg 0.5000 0.5000 0.5000  4 Ca 3.48, 8 Li 3.52
5 Ru 0.0000 0.0000 0.0000  4 Li 2.46, 2 Ca 2.52

space-group type: P4/mmm, No. 123
total moment: 0.10 μB/f.u.
electronic total energy: -13.974 eV/cell

Below is a relaxed LiNbIr3 crystal, with properties calculated at the PBE level.

a b c (Å): 4.1440 4.1440 4.1440
angles (deg): 90.00 90.00 90.00
Closest atoms and distances in Å follow each position.
Positions (direct):
1 Li 0.0000 0.0000 0.0000  6 Ir 2.07
2 Nb 0.5000 0.5000 0.5000  12 Ir 2.93
3 Ir 0.0000 0.0000 0.5000  2 Li 2.07
4 Ir 0.0000 0.5000 0.0000  2 Li 2.07
5 Ir 0.5000 0.0000 0.0000  2 Li 2.07

space-group type: Pm-3m, No. 221
total moment: 0.00 μB/f.u.
electronic total energy: -37.000 eV/cell

- Which value of electronic total energy does entry 4 give?
  -78.714 eV/cell

- Among the records above, which one has the lowest electronic total energy?
  Ce5Hg2Os

- total moment of number 9 (Cu4TeSCl2)?
  0.00 μB/f.u.